Record 1
ZrTlPCl2: single point on PBEsol structure, SCAN.

spin magnetization: 0.000 Bohr magnetons per cell
symmetry: P4/mmm
N(E_F): 0.28 states/eV per atom
uncorrected formation energy: -98.0 kJ per mole of atoms

Unit cell a=5.0684 b=5.0109 c=5.0109 alpha=90.00 beta=90.00 gamma=90.00
Positions (direct):
1 Cl 0.0000 0.0000 0.5000
2 Cl 0.0000 0.5000 0.0000
3 Tl 0.5000 0.5000 0.5000
4 Zr 0.0000 0.0000 0.0000
5 P 0.5000 0.0000 0.0000

***

Record 2
VPCl9: single point on PBEsol structure, SCAN.

spin magnetization: 2.000 Bohr magnetons per cell
symmetry: Cmme
uncorrected formation energy: -96.3 kJ per mole of atoms

Unit cell a=6.1556 b=10.1440 c=10.1440 alpha=108.67 beta=90.00 gamma=90.00
Positions (direct):
1 Cl 0.4030 0.1106 0.8894
2 Cl 0.8134 0.2779 0.4130
3 Cl 0.7661 0.9117 0.4117
4 Cl 0.8134 0.9130 0.7779
5 Cl 0.1866 0.7779 0.9130
6 Cl 0.1866 0.7221 0.5870
7 Cl 0.7661 0.5883 0.0883
8 Cl 0.4030 0.3894 0.6106
9 Cl 0.2339 0.4117 0.9117
10 Cl 0.1866 0.4130 0.2779
11 Cl 0.2339 0.0883 0.5883
12 Cl 0.8134 0.5870 0.7221
13 Cl 0.7536 0.2500 0.7500
14 Cl 0.1866 0.0870 0.2221
15 Cl 0.5970 0.6106 0.3894
16 Cl 0.8134 0.2221 0.0870
17 Cl 0.2464 0.7500 0.2500
18 Cl 0.5970 0.8894 0.1106
19 P 0.0000 0.7500 0.7500
20 P 0.0000 0.2500 0.2500
21 V 0.3997 0.2500 0.7500
22 V 0.6003 0.7500 0.2500

***

Record 3
PWCl2: single point on PBEsol structure, SCAN.

spin magnetization: 0.000 Bohr magnetons per cell
symmetry: Cmmm
N(E_F): 0.42 states/eV per atom
uncorrected formation energy: -16.7 kJ per mole of atoms

Unit cell a=3.0635 b=4.6781 c=7.0182 alpha=109.49 beta=90.00 gamma=90.00
Positions (direct):
1 W 0.5000 0.5000 0.5000
2 Cl 0.0000 0.6425 0.7849
3 Cl 0.0000 0.3575 0.2151
4 P 0.5000 0.0000 0.5000